The following is a PBE calculation of PdSe4I after structural relaxation, from the Alexandria database.

- ρ: 5.13 Mg/m³
- Energy relative to the elements, uncorrected: -0.027 eV/atom

abc: 4.507 11.257 7.006
angles: 90.00 90.61 90.00
Space group P2/c (No. 13)
Asymmetric unit:
Pd 0.000 0.092 0.250 (multiplicity 2)
Se 0.296 0.286 0.146 (multiplicity 4)
Se 0.304 0.062 0.556 (multiplicity 4)
I 0.500 0.347 0.750 (multiplicity 2)